An optimized crystal structure of Ac4NiO7, computed with GGA+U. Values from VASP.

Calculated values
Total magnetic moment   2.0 μB/f.u.
SG   C2/m
E   -0.2709 hartree per atom
Crystal system   monoclinic

Structure (Quantum ESPRESSO input):
```
&SYSTEM
  ibrav = 0, nat = 12, ntyp = 3
/
ATOMIC_SPECIES
Ac 227.00 Ac.upf
Ni 58.69 Ni.upf
O 16.00 O.upf
CELL_PARAMETERS angstrom
-3.067 1.822 2.172
-5.467 1.144 -4.663
-4.386 -5.413 2.364
ATOMIC_POSITIONS angstrom
Ac -9.629 -2.484 0.536
Ac -7.236 -0.422 -1.832
Ac -3.292 0.037 -0.663
Ac -5.684 -2.025 1.705
Ni 0.000 0.000 0.000
O -4.699 0.421 -2.973
O -9.559 -0.605 -0.942
O -3.361 -1.841 0.815
O -8.221 -2.868 2.846
O -1.534 0.911 1.086
O -7.289 -2.458 -0.199
O -5.631 0.012 0.071
```